Computed, not measured: a geometry-optimized MgCoF4 structure at the PBE+U level of DFT.

Unit cell a=5.678 b=5.678 c=5.678 alpha=107.89 beta=107.89 gamma=112.69
Positions (direct):
1 F 0.756 0.060 0.304
2 F 0.202 0.006 0.196
3 F 0.810 0.006 0.804
4 F 0.691 0.494 0.198
5 F 0.244 0.941 0.698
6 F 0.756 0.452 0.696
7 F 0.244 0.546 0.302
8 F 0.296 0.494 0.802
9 Co 0.749 0.749 0.000
10 Co 0.499 0.999 0.500
11 Mg 0.002 0.502 0.500
12 Mg 0.252 0.252 0.000

Output
The value obtained for the uncorrected energy is -5.205 eV/atom. The value obtained for the energy above the most stable polymorph in this dataset is 0.00 kJ/mol of atoms.